## BeInIr (GGA-PBE)

Data for a relaxed structure of BeInIr.

The structure in POSCAR format:
```
BeInIr
1.0
2.963 0.000 0.000
-1.481 2.566 0.000
0.000 0.000 6.147
Be In Ir
1 1 1
Cartesian
0.000 0.000 0.000
0.000 1.711 2.261
1.481 0.855 4.609
```

---

## BeInIr2 (GGA-PBE)

Data for a relaxed structure of BeInIr2.

The structure in POSCAR format:
```
BeInIr2
1.0
1.492 0.861 7.577
-1.492 0.861 7.577
0.000 -1.722 7.577
Be In Ir
1 1 2
Cartesian
0.000 0.000 0.000
0.000 0.000 11.366
0.000 0.000 6.012
0.000 0.000 16.721
```

---

## BeIn2Ir (GGA-PBE)

Data for a relaxed structure of BeIn2Ir.

The structure in POSCAR format:
```
BeIn2Ir
1.0
4.509 -1.595 0.000
4.509 1.595 0.000
-0.941 0.000 4.793
Be In Ir
1 2 1
Cartesian
0.000 0.000 0.000
1.534 0.000 3.600
6.543 0.000 1.193
4.039 0.000 2.397
```

---

## BeIn2Ir (GGA-PBE)

Data for a relaxed structure of BeIn2Ir.

The structure in POSCAR format:
```
BeIn2Ir
1.0
4.163 0.000 0.000
0.000 4.163 0.000
0.000 0.000 3.876
Be In Ir
1 2 1
Cartesian
0.000 0.000 0.000
0.000 2.081 1.938
2.081 0.000 1.938
2.081 2.081 0.000
```

---

## BeInIr2 (GGA-PBE)

Data for a relaxed structure of BeInIr2.

The structure in POSCAR format:
```
BeInIr2
1.0
1.416 -2.453 0.000
1.416 2.453 0.000
0.000 0.000 8.870
Be In Ir
1 1 2
Cartesian
0.000 0.000 0.000
1.416 0.000 2.385
0.000 0.000 4.784
1.416 0.000 7.140
```

---

## BeInIr (GGA-PBE)

Data for a relaxed structure of BeInIr.

The structure in POSCAR format:
```
BeInIr
1.0
0.000 2.855 2.855
2.855 0.000 2.855
2.855 2.855 0.000
Be In Ir
1 1 1
Cartesian
0.000 0.000 0.000
1.427 1.427 1.427
4.282 4.282 4.282
```

---

## BeInIr2 (GGA-PBE)

Data for a relaxed structure of BeInIr2.

The structure in POSCAR format:
```
BeInIr2
1.0
-1.484 2.121 4.662
1.484 -2.121 4.662
1.484 2.121 -4.662
Be In Ir
1 1 2
Cartesian
0.000 0.000 0.000
1.484 0.000 2.289
0.000 0.000 5.000
0.000 2.121 2.903
```

---

## BeInIr (GGA-PBE)

Data for a relaxed structure of BeInIr.

The structure in POSCAR format:
```
BeInIr
1.0
4.071 0.000 0.000
-2.036 3.526 0.000
0.000 0.000 3.139
Be In Ir
1 1 1
Cartesian
0.000 0.000 0.000
2.036 1.175 1.569
0.000 2.351 0.000
```

---

## BeIn2Ir (GGA-PBE)

Data for a relaxed structure of BeIn2Ir.

The structure in POSCAR format:
```
BeIn2Ir
1.0
5.637 -1.489 0.000
5.637 1.489 0.000
-1.367 0.000 4.310
Be In Ir
1 2 1
Cartesian
0.000 0.000 0.000
5.754 0.000 2.407
8.574 0.000 0.985
2.859 0.000 3.344
```

---

## BeIn2Ir (GGA-PBE)

Data for a relaxed structure of BeIn2Ir.

The structure in POSCAR format:
```
BeIn2Ir
1.0
3.003 0.000 0.000
0.000 3.003 0.000
0.000 0.000 8.153
Be In Ir
1 2 1
Cartesian
0.000 0.000 0.000
0.000 0.000 5.172
1.502 1.502 2.144
1.502 1.502 7.228
```

---

## BeInIr3 (GGA-PBE)

Data for a relaxed structure of BeInIr3.

The structure in POSCAR format:
```
BeInIr3
1.0
4.843 0.000 0.000
0.000 4.843 0.000
0.000 0.000 4.843
Be In Ir
1 1 3
Cartesian
0.000 0.000 0.000
2.422 2.422 2.422
0.000 2.422 2.422
2.422 0.000 2.422
2.422 2.422 0.000
```

---

## BeInIr2 (GGA-PBE)

Data for a relaxed structure of BeInIr2.

The structure in POSCAR format:
```
BeInIr2
1.0
4.309 0.000 0.000
0.000 4.309 0.000
0.000 0.000 3.147
Be In Ir
1 1 2
Cartesian
0.000 0.000 0.000
2.154 2.154 0.000
0.000 2.154 1.574
2.154 0.000 1.574
```

---

no.,E_form (eV/atom)
1,0.151
2,-0.019
3,0.312
4,0.238
5,0.346
6,-0.039
7,0.048
8,-0.157
9,0.080
10,-0.049
11,2.361
12,-0.043